[1]
An optimized crystal structure of ScTc2. Source: Alexandria, functional PBE.

The space group is Pnnm (No. 58) and the conventional cell measures 2.7984, 7.7130 and 4.4484 Å, with angles of 90.00, 90.00 and 90.00 degrees. The asymmetric unit holds Sc at (0.0000, 0.0000, 0.0000) and Tc at (0.1890, 0.3394, 0.0000).

The formation energy comes out at 113 meV per atom. The value obtained for the distance to the lowest polymorph of the same formula is 9.62 kcal/mol of atoms.

***

[2]
An optimized crystal structure of LiY3Er3Se8. Source: Alexandria, functional PBE.

The space group is R-3m (No. 166, hexagonal axes) and the conventional cell measures 8.0705, 8.0705 and 19.8062 Å, with angles of 90.00, 90.00 and 120.00 degrees. The asymmetric unit holds Li at (0.0000, 0.0000, 0.0000), Y at (0.0000, 0.5000, 0.5000), Er at (0.0000, 0.5000, 0.0000), Se at (0.0000, 0.0000, 0.2513) and Se at (0.0020, 0.5010, 0.7482).

Its formation energy without anion corrections is -1.785 eV per atom.

***

[3]
An optimized crystal structure of CePuSeS. Source: Alexandria, functional PBE.

The space group is R3m (No. 160, hexagonal axes) and the conventional cell measures 4.0689, 4.0689 and 20.1266 Å, with angles of 90.00, 90.00 and 120.00 degrees. The asymmetric unit holds Ce at (0.0000, 0.0000, 0.0000), Pu at (0.0000, 0.0000, 0.4888), Se at (0.0000, 0.0000, 0.2423) and S at (0.0000, 0.0000, 0.7475).

Its formation energy without anion corrections is -1.786 eV per atom.

***

[4]
An optimized crystal structure of PuReS4. Source: Alexandria, functional PBE.

The space group is P2_1/c (No. 14) and the conventional cell measures 7.1940, 5.5112 and 6.8448 Å, with angles of 90.00, 114.95 and 90.00 degrees. The asymmetric unit holds Pu at (0.0000, 0.0000, 0.0000), Re at (0.5000, 0.0000, 0.0000), S at (0.2190, 0.2305, 0.3663) and S at (0.3487, 0.7398, 0.1769).

Its formation energy without anion corrections is -0.705 eV per atom.

***

[5]
An optimized crystal structure of CrInCo2. Source: Alexandria, functional PBE.

The space group is P4mm (No. 99) and the conventional cell measures 2.8119, 2.8119 and 6.8734 Å, with angles of 90.00, 90.00 and 90.00 degrees. The asymmetric unit holds Cr at (0.0000, 0.0000, 0.0000), In at (0.5000, 0.5000, 0.3033), Co at (0.0000, 0.0000, 0.5852) and Co at (0.5000, 0.5000, 0.7933).

The formation energy comes out at 316 meV per atom.

***

[6]
An optimized crystal structure of CoP2H. Source: Alexandria, functional PBE.

The space group is Fm-3m (No. 225) and the conventional cell measures 5.4181, 5.4181 and 5.4181 Å, with angles of 90.00, 90.00 and 90.00 degrees. The asymmetric unit holds Co at (0.0000, 0.0000, 0.0000), P at (0.2500, 0.2500, 0.2500) and H at (0.0000, 0.0000, 0.5000).

The value obtained for the distance to the lowest polymorph of the same formula is 0.00 kcal/mol of atoms.

***

[7]
An optimized crystal structure of KNa2CdIn. Source: Alexandria, functional PBE.

The space group is P4/mmm (No. 123) and the conventional cell measures 5.9315, 5.9315 and 5.6489 Å, with angles of 90.00, 90.00 and 90.00 degrees. The asymmetric unit holds K at (0.0000, 0.0000, 0.0000), Na at (0.0000, 0.5000, 0.5000), Cd at (0.5000, 0.5000, 0.5000) and In at (0.5000, 0.5000, 0.0000).

The formation energy comes out at 24 meV per atom.

***

[8]
An optimized crystal structure of LaAgB2Mo. Source: Alexandria, functional PBE.

The space group is P4/mmm (No. 123) and the conventional cell measures 4.2104, 4.2104 and 5.6489 Å, with angles of 90.00, 90.00 and 90.00 degrees. The asymmetric unit holds La at (0.0000, 0.0000, 0.0000), Ag at (0.0000, 0.0000, 0.5000), B at (0.0000, 0.5000, 0.5000) and Mo at (0.5000, 0.5000, 0.0000).

The formation energy comes out at 1755 meV per atom.

***

The records above yield spin magnetization values of 0.0; 0.0; 6.5; 4.3; 3.1; 0.0; 0.0; 2.3 μB/f.u., respectively.
The records above yield V values of 96.01; 1117.17; 288.57; 246.06; 54.35; 159.05; 198.74; 100.14 Å³/cell, respectively.